Cs3RbAu: relaxed, PBE-GGA.

## Properties
DOS at the Fermi energy = 2.723 states/eV/cell
relative energy among the computed polymorphs = 307 meV/atom
SG = I-4m2 (119)
ΔH_f (0 K) = 159 meV per atom

Cell: 7.388 7.388 19.520 Å, 79.09 79.09 90.00°
Sites, in units of the cell vectors:
Cs (0.114, 0.872, 0.255)
Cs (0.630, 0.872, 0.255)
Cs (0.128, 0.886, 0.745)
Cs (0.128, 0.370, 0.745)
Cs (0.437, 0.437, 0.125)
Cs (0.563, 0.563, 0.875)
Au (0.601, 0.101, 0.797)
Au (0.899, 0.399, 0.203)
Rb (0.000, 0.000, 0.000)
Rb (0.250, 0.750, 0.500)